Entry 1:
Mg2PRh | GGA-PBE | optimized geometry

Fermi-level density of states in states/eV per cell: 10.40
ΔE_f in eV per formula unit: -0.717
Uncorrected energy in eV/atom: -4.167

a = 3.0411 Å, b = 3.0411 Å, c = 24.6689 Å
α = 90.00°, β = 90.00°, γ = 120.00°
Closest atoms and distances in Å follow each position.
Space group R-3m (No. 166, hexagonal axes)
Unique sites:
1 Mg 0.0000 0.0000 0.2473 [6 per cell]  3 Rh 2.65, 3 P 2.76
2 P 0.0000 0.0000 0.0000 [3 per cell]  6 Mg 2.76, 6 P 3.04
3 Rh 0.0000 0.0000 0.5000 [3 per cell]  6 Mg 2.65

---

Entry 2:
K2MnBe | GGA-PBE | optimized geometry

Fermi-level density of states in states/eV per cell: 3.91
ΔE_f in eV per formula unit: 2.528
Uncorrected energy in eV/atom: -3.141

a = 20.3330 Å, b = 3.0900 Å, c = 3.7258 Å
α = 90.00°, β = 100.10°, γ = 90.00°
Closest atoms and distances in Å follow each position.
Space group C2/m (No. 12)
Unique sites:
1 K 0.1466 0.0000 0.1432 [4 per cell]  2 K 3.09, 2 Be 3.32
2 Mn 0.0000 0.0000 0.5000 [2 per cell]  4 Be 2.42
3 Be 0.0000 0.5000 0.0000 [2 per cell]  4 Mn 2.42